First-principles (SCAN) data for a crystal of ZnP2SeO relaxed with PBEsol, as listed in Alexandria via LeMat-Bulk. Values from VASP.

Quantum ESPRESSO input file:
```
&SYSTEM
  ibrav = 0, nat = 5, ntyp = 4
/
ATOMIC_SPECIES
Zn 65.41 Zn.upf
P 30.97 P.upf
Se 78.96 Se.upf
O 16.00 O.upf
ATOMIC_POSITIONS angstrom
Zn 0.000 0.000 0.000
P 0.000 2.351 0.000
P 2.351 0.000 0.000
Se 2.351 2.351 1.811
O 0.000 0.000 1.811
CELL_PARAMETERS angstrom
4.702 0.000 0.000
0.000 4.702 0.000
0.000 0.000 3.622
```

Summary:
**ΔE_f (raw)**: 575 meV/atom

First-principles (SCAN) data for a crystal of SiP2O relaxed with PBEsol, as listed in Alexandria via LeMat-Bulk. Values from VASP.

Quantum ESPRESSO input file:
```
&SYSTEM
  ibrav = 0, nat = 4, ntyp = 3
/
ATOMIC_SPECIES
Si 28.09 Si.upf
P 30.97 P.upf
O 16.00 O.upf
ATOMIC_POSITIONS angstrom
Si 0.000 0.000 0.000
P 1.426 1.426 1.426
P 4.278 4.278 4.278
O 2.852 2.852 2.852
CELL_PARAMETERS angstrom
0.000 2.852 2.852
2.852 0.000 2.852
2.852 2.852 0.000
```

Summary:
**ΔE_f (raw)**: 553 meV/atom

First-principles (SCAN) data for a crystal of TaSiP2O relaxed with PBEsol, as listed in Alexandria via LeMat-Bulk. Values from VASP.

Quantum ESPRESSO input file:
```
&SYSTEM
  ibrav = 0, nat = 5, ntyp = 4
/
ATOMIC_SPECIES
Ta 180.95 Ta.upf
Si 28.09 Si.upf
P 30.97 P.upf
O 16.00 O.upf
ATOMIC_POSITIONS angstrom
Ta 0.000 0.000 0.000
Si 2.442 2.442 1.898
P 0.000 2.442 0.000
P 2.442 0.000 0.000
O 0.000 0.000 1.898
CELL_PARAMETERS angstrom
4.884 0.000 0.000
0.000 4.884 0.000
0.000 0.000 3.796
```

Summary:
**ΔE_f (raw)**: -221 meV/atom

First-principles (SCAN) data for a crystal of SiTcP2O relaxed with PBEsol, as listed in Alexandria via LeMat-Bulk. Values from VASP.

Quantum ESPRESSO input file:
```
&SYSTEM
  ibrav = 0, nat = 5, ntyp = 4
/
ATOMIC_SPECIES
Si 28.09 Si.upf
Tc 98.00 Tc.upf
P 30.97 P.upf
O 16.00 O.upf
ATOMIC_POSITIONS angstrom
Si 0.000 0.000 0.000
Tc 2.358 2.358 1.802
P 0.000 2.358 1.802
P 2.358 0.000 1.802
O 2.358 2.358 0.000
CELL_PARAMETERS angstrom
4.716 0.000 0.000
0.000 4.716 0.000
0.000 0.000 3.604
```

Summary:
**ΔE_f (raw)**: 146 meV/atom

First-principles (SCAN) data for a crystal of TlSiP2O relaxed with PBEsol, as listed in Alexandria via LeMat-Bulk. Values from VASP.

Quantum ESPRESSO input file:
```
&SYSTEM
  ibrav = 0, nat = 5, ntyp = 4
/
ATOMIC_SPECIES
Tl 204.38 Tl.upf
Si 28.09 Si.upf
P 30.97 P.upf
O 16.00 O.upf
ATOMIC_POSITIONS angstrom
Tl 0.000 0.000 0.000
Si 2.532 2.532 2.013
P 0.000 2.532 0.000
P 2.532 0.000 0.000
O 0.000 0.000 2.013
CELL_PARAMETERS angstrom
5.063 0.000 0.000
0.000 5.063 0.000
0.000 0.000 4.027
```

Summary:
**ΔE_f (raw)**: 1281 meV/atom

First-principles (SCAN) data for a crystal of SiPWO2 relaxed with PBEsol, as listed in Alexandria via LeMat-Bulk. Values from VASP.

Quantum ESPRESSO input file:
```
&SYSTEM
  ibrav = 0, nat = 5, ntyp = 4
/
ATOMIC_SPECIES
Si 28.09 Si.upf
P 30.97 P.upf
W 183.84 W.upf
O 16.00 O.upf
ATOMIC_POSITIONS angstrom
Si 0.000 0.000 0.000
P 1.897 1.897 0.000
W 1.897 1.897 2.516
O 0.000 1.897 2.516
O 1.897 0.000 2.516
CELL_PARAMETERS angstrom
3.794 0.000 0.000
0.000 3.794 0.000
0.000 0.000 5.032
```

Summary:
**ΔE_f (raw)**: -700 meV/atom

First-principles (SCAN) data for a crystal of Y2SiP4O15 relaxed with PBEsol, as listed in Alexandria via LeMat-Bulk. Values from VASP.

Quantum ESPRESSO input file:
```
&SYSTEM
  ibrav = 0, nat = 44, ntyp = 4
/
ATOMIC_SPECIES
Y 88.91 Y.upf
Si 28.09 Si.upf
P 30.97 P.upf
O 16.00 O.upf
ATOMIC_POSITIONS angstrom
Y 0.659 3.555 2.021
Y 2.838 11.743 3.456
Y 4.155 4.634 3.456
Y 6.334 12.823 2.021
Si 0.000 8.189 5.280
Si 3.497 0.000 0.197
P 0.619 5.412 4.453
P 0.938 1.211 4.673
P 2.559 9.400 0.804
P 2.878 13.601 1.024
P 4.115 2.777 1.024
P 4.434 6.977 0.804
P 6.055 15.166 4.673
P 6.374 10.965 4.453
O 0.000 0.000 5.075
O 0.523 7.001 4.289
O 0.547 11.585 3.649
O 0.609 5.126 0.459
O 0.635 1.735 3.306
O 0.854 2.179 0.331
O 1.145 8.703 0.837
O 1.639 13.113 1.794
O 1.858 4.924 3.683
O 2.352 0.514 4.641
O 2.643 10.368 5.146
O 2.862 9.923 2.171
O 2.887 13.315 5.018
O 2.950 3.396 1.828
O 2.974 15.190 1.188
O 3.497 8.189 0.402
O 4.019 1.188 1.188
O 4.043 12.981 1.828
O 4.106 3.063 5.018
O 4.131 6.454 2.171
O 4.350 6.010 5.146
O 4.641 15.864 4.641
O 5.135 11.454 3.683
O 5.354 3.265 1.794
O 5.848 7.675 0.837
O 6.139 14.199 0.331
O 6.358 14.643 3.306
O 6.384 11.251 0.459
O 6.446 4.792 3.649
O 6.470 9.377 4.289
CELL_PARAMETERS angstrom
6.993 0.000 0.000
0.000 16.378 0.000
0.000 0.000 5.477
```

Summary:
**ΔE_f (raw)**: -2998 meV/atom

First-principles (SCAN) data for a crystal of YZr5Si5PO24 relaxed with PBEsol, as listed in Alexandria via LeMat-Bulk. Values from VASP.

Quantum ESPRESSO input file:
```
&SYSTEM
  ibrav = 0, nat = 72, ntyp = 5
/
ATOMIC_SPECIES
Y 88.91 Y.upf
Zr 91.22 Zr.upf
Si 28.09 Si.upf
P 30.97 P.upf
O 16.00 O.upf
ATOMIC_POSITIONS angstrom
Y 1.492 2.357 2.441
Y 1.492 -2.357 25.934
Zr 0.000 0.000 4.867
Zr 0.000 0.000 14.187
Zr 0.000 0.000 23.507
Zr 1.492 2.357 11.857
Zr 1.492 2.357 21.174
Zr 1.492 -2.357 7.200
Zr 1.492 -2.357 16.518
Zr 2.983 0.000 0.000
Zr 2.983 0.000 9.523
Zr 2.983 0.000 18.851
Si 0.000 0.000 0.000
Si 0.000 0.000 9.529
Si 0.000 0.000 18.846
Si 1.492 2.357 7.180
Si 1.492 2.357 16.520
Si 1.492 -2.357 11.854
Si 1.492 -2.357 21.194
Si 2.983 0.000 4.874
Si 2.983 0.000 14.187
Si 2.983 0.000 23.501
P 1.492 2.357 25.956
P 1.492 -2.357 2.419
O 2.442 3.213 25.090
O 1.080 0.867 19.709
O 2.573 3.225 15.658
O 2.576 3.230 6.319
O 1.083 0.867 10.387
O 1.120 0.845 0.849
O 1.861 0.824 4.028
O 1.907 0.887 22.638
O 3.390 3.230 22.056
O 1.902 0.868 13.326
O 3.393 3.225 12.717
O 3.524 3.213 3.285
O 2.450 1.501 26.820
O 2.568 1.491 8.048
O 1.080 -0.867 8.665
O 2.573 1.490 17.383
O 1.083 -0.867 17.987
O 1.120 -0.845 27.525
O 1.861 -0.824 24.347
O 1.902 -0.868 15.049
O 3.393 1.490 10.992
O 3.398 1.491 20.327
O 1.907 -0.887 5.737
O 3.516 1.501 1.555
O 2.450 -1.501 1.555
O 4.059 0.887 5.737
O 2.568 -1.491 20.327
O 2.573 -1.490 10.992
O 4.064 0.868 15.049
O 4.105 0.824 24.347
O 4.846 0.845 27.525
O 4.883 0.867 17.987
O 3.393 -1.490 17.383
O 4.886 0.867 8.665
O 3.398 -1.491 8.048
O 3.516 -1.501 26.820
O 2.442 -3.213 3.285
O 2.573 -3.225 12.717
O 4.064 -0.868 13.326
O 2.576 -3.230 22.056
O 4.059 -0.887 22.638
O 4.105 -0.824 4.028
O 4.846 -0.845 0.849
O 4.883 -0.867 10.387
O 3.390 -3.230 6.319
O 3.393 -3.225 15.658
O 4.886 -0.867 19.709
O 3.524 -3.213 25.090
CELL_PARAMETERS angstrom
2.983 -4.715 0.000
2.983 4.715 0.000
0.000 0.000 28.375
```

Summary:
**ΔE_f (raw)**: -3432 meV/atom

First-principles (SCAN) data for a crystal of SmZr6P9O36 relaxed with PBEsol, as listed in Alexandria via LeMat-Bulk. Values from VASP.

Quantum ESPRESSO input file:
```
&SYSTEM
  ibrav = 0, nat = 104, ntyp = 4
/
ATOMIC_SPECIES
Sm 150.36 Sm.upf
Zr 91.22 Zr.upf
P 30.97 P.upf
O 16.00 O.upf
ATOMIC_POSITIONS angstrom
Sm 0.000 0.000 0.000
Sm 0.000 0.000 11.372
Zr 0.000 0.000 3.389
Zr 0.000 0.000 7.983
Zr 0.000 0.000 14.762
Zr 0.000 0.000 19.355
Zr 0.000 5.123 0.686
Zr 0.000 5.123 7.097
Zr 0.000 5.123 12.059
Zr 0.000 5.123 18.469
Zr 4.437 2.562 4.275
Zr 4.437 2.562 10.686
Zr 4.437 2.562 15.648
Zr 4.437 2.562 22.058
P -1.292 2.237 5.686
P -3.145 5.448 17.058
P -1.178 2.889 20.949
P -2.524 5.221 9.576
P 2.583 0.000 5.686
P 1.292 2.237 17.058
P 1.178 2.889 9.576
P -1.346 7.261 20.949
P 3.091 0.424 13.168
P 1.913 2.465 1.796
P 2.524 5.221 20.949
P 1.346 7.261 9.576
P 5.783 0.424 1.796
P 3.259 4.796 13.168
P 6.291 0.000 17.058
P 3.145 5.448 5.686
P 6.961 2.465 13.168
P 5.615 4.796 1.796
O -0.626 1.406 20.936
O -3.533 6.440 9.564
O -0.632 1.561 4.451
O -3.402 6.357 15.824
O -1.086 3.753 13.123
O -1.730 4.868 1.751
O -0.727 3.602 19.683
O -1.681 5.255 8.311
O -0.658 3.599 5.907
O -1.650 5.316 17.279
O 0.626 1.406 9.564
O -0.596 3.526 22.214
O -1.681 5.406 10.842
O -2.906 7.525 20.936
O 0.632 1.561 15.824
O -2.769 7.452 4.451
O 1.530 0.161 13.181
O 0.904 1.245 1.809
O 1.668 0.233 6.921
O 1.035 1.328 18.293
O 0.596 3.526 10.842
O -1.085 6.438 22.214
O 0.658 3.599 17.279
O -0.991 6.456 5.907
O 0.727 3.602 8.311
O -0.954 6.514 19.683
O 1.086 3.753 1.751
O -0.643 6.749 13.123
O 3.352 1.247 11.903
O 2.756 2.279 0.530
O 3.446 1.229 5.466
O 2.787 2.369 16.838
O 3.483 1.171 14.434
O 2.756 2.430 3.062
O 3.794 0.936 20.994
O 2.707 2.817 9.622
O 1.730 4.868 13.123
O 0.643 6.749 1.751
O 1.681 5.255 19.683
O 0.954 6.514 8.311
O 1.650 5.316 5.907
O 0.991 6.456 17.279
O 1.681 5.406 22.214
O 1.085 6.438 10.842
O 5.080 0.936 9.622
O 3.351 3.932 20.994
O 5.391 1.171 3.062
O 3.710 4.083 14.434
O 5.428 1.229 16.838
O 3.779 4.086 5.466
O 5.522 1.247 0.530
O 3.841 4.159 11.903
O 3.402 6.357 4.451
O 2.769 7.452 15.824
O 3.533 6.440 20.936
O 2.906 7.525 9.564
O 7.206 0.233 18.293
O 3.805 6.125 6.921
O 7.343 0.161 1.809
O 6.118 2.279 11.903
O 5.033 4.159 0.530
O 3.811 6.279 13.181
O 6.087 2.369 5.466
O 5.095 4.086 16.838
O 6.118 2.430 14.434
O 5.164 4.083 3.062
O 6.167 2.817 20.994
O 5.523 3.932 9.622
O 7.839 1.328 6.921
O 5.069 6.125 18.293
O 7.970 1.245 13.181
O 5.063 6.279 1.809
CELL_PARAMETERS angstrom
8.874 0.000 0.000
-4.437 7.685 0.000
0.000 0.000 22.745
```

Summary:
**ΔE_f (raw)**: -3071 meV/atom

First-principles (SCAN) data for a crystal of Sn2P5O15 relaxed with PBEsol, as listed in Alexandria via LeMat-Bulk. Values from VASP.

Quantum ESPRESSO input file:
```
&SYSTEM
  ibrav = 0, nat = 44, ntyp = 3
/
ATOMIC_SPECIES
Sn 118.71 Sn.upf
P 30.97 P.upf
O 16.00 O.upf
ATOMIC_POSITIONS angstrom
Sn 0.000 1.919 0.000
Sn -2.672 7.314 6.221
Sn 1.530 1.929 4.244
Sn -1.142 7.304 10.465
P -4.014 0.266 9.703
P -1.343 8.966 3.482
P -1.168 2.825 6.221
P -3.839 6.407 12.442
P 0.762 4.498 2.141
P -1.910 4.734 8.362
P -2.663 2.768 10.437
P 0.009 6.465 4.216
P -0.186 0.167 7.212
P 2.486 9.065 0.991
O -4.727 0.399 11.033
O -2.055 8.834 4.811
O -0.151 3.746 1.208
O -2.823 5.487 7.429
O -0.796 1.067 3.122
O -3.468 8.166 9.343
O -2.890 3.811 9.250
O -0.218 5.422 3.029
O -3.757 2.982 11.448
O -1.085 6.251 5.226
O -2.856 1.380 9.648
O -0.184 7.852 3.427
O -1.190 1.334 6.813
O 1.481 7.898 0.592
O 1.631 1.050 1.282
O -1.040 8.182 7.503
O -1.004 3.686 7.566
O 1.668 5.547 1.344
O 0.071 3.054 5.412
O -2.600 6.178 11.633
O 1.701 3.750 3.028
O -0.970 5.483 9.249
O -1.234 2.828 10.906
O 1.437 6.405 4.685
O 0.943 0.007 6.231
O 3.615 9.225 0.010
O 0.344 0.799 8.592
O 3.015 8.434 2.371
O 2.875 3.061 5.618
O 0.204 6.171 11.839
CELL_PARAMETERS angstrom
5.386 0.000 0.000
0.000 9.233 0.000
-5.343 0.000 12.442
```

Summary:
**ΔE_f (raw)**: -2154 meV/atom